Record 1
# Ho2Zn2GaPt5, relaxed, DFT GGA-PBE
# DFT formation energy ... -0.847 eV per atom
data_Ho2Zn2GaPt5
_symmetry_space_group_name_H-M 'P 1'
_symmetry_Int_Tables_number 1
_cell_length_a 9.627
_cell_length_b 9.627
_cell_length_c 3.751
_cell_angle_alpha 90.00
_cell_angle_beta 90.00
_cell_angle_gamma 90.00
loop_
_symmetry_equiv_pos_as_xyz
'x,y,z'
loop_
_atom_site_label
_atom_site_fract_x
_atom_site_fract_y
_atom_site_fract_z
Ho1 0.175 0.325 0.000
Ho2 0.325 0.825 0.000
Ho3 0.675 0.175 0.000
Ho4 0.825 0.675 0.000
Zn1 0.124 0.624 0.000
Zn2 0.376 0.124 0.000
Zn3 0.624 0.876 0.000
Zn4 0.876 0.376 0.000
Ga1 0.000 0.000 0.000
Ga2 0.500 0.500 0.000
Pt1 0.000 0.500 0.500
Pt2 0.064 0.798 0.500
Pt3 0.202 0.064 0.500
Pt4 0.298 0.564 0.500
Pt5 0.436 0.298 0.500
Pt6 0.500 0.000 0.500
Pt7 0.564 0.702 0.500
Pt8 0.702 0.436 0.500
Pt9 0.798 0.936 0.500
Pt10 0.936 0.202 0.500



Record 2
# FeBiW2, relaxed, DFT GGA-PBE
# DFT formation energy ... 1.166 eV per atom
data_FeBiW2
_symmetry_space_group_name_H-M 'P 1'
_symmetry_Int_Tables_number 1
_cell_length_a 10.253
_cell_length_b 10.253
_cell_length_c 10.253
_cell_angle_alpha 158.51
_cell_angle_beta 158.51
_cell_angle_gamma 30.58
loop_
_symmetry_equiv_pos_as_xyz
'x,y,z'
loop_
_atom_site_label
_atom_site_fract_x
_atom_site_fract_y
_atom_site_fract_z
Fe1 0.000 0.000 0.000
Fe2 0.750 0.250 0.500
Bi1 0.250 0.750 0.500
Bi2 0.500 0.500 0.000
W1 0.106 0.625 0.981
W2 0.375 0.356 0.481
W3 0.644 0.125 0.019
W4 0.875 0.894 0.519



Record 3
# CaPr4Se5, relaxed, DFT GGA-PBE
# ΔE_f (raw) ... -1868 meV/atom
# E above lowest polymorph ... 0.007 eV per atom
data_CaPr4Se5
_symmetry_space_group_name_H-M 'P 1'
_symmetry_Int_Tables_number 1
_cell_length_a 7.366
_cell_length_b 7.366
_cell_length_c 7.366
_cell_angle_alpha 99.61
_cell_angle_beta 99.61
_cell_angle_gamma 131.76
loop_
_symmetry_equiv_pos_as_xyz
'x,y,z'
loop_
_atom_site_label
_atom_site_fract_x
_atom_site_fract_y
_atom_site_fract_z
Ca1 0.000 0.000 0.000
Pr1 0.198 0.402 0.600
Pr2 0.402 0.802 0.204
Pr3 0.598 0.198 0.796
Pr4 0.802 0.598 0.400
Se1 0.098 0.708 0.806
Se2 0.292 0.098 0.391
Se3 0.500 0.500 0.000
Se4 0.708 0.902 0.609
Se5 0.902 0.292 0.194



Record 4
# K2BaSb2, relaxed, DFT GGA-PBE
# ΔE_f (raw) ... -535 meV/atom
# E above lowest polymorph ... 0.000 eV per atom
data_K2BaSb2
_symmetry_space_group_name_H-M 'P 1'
_symmetry_Int_Tables_number 1
_cell_length_a 8.506
_cell_length_b 8.506
_cell_length_c 8.506
_cell_angle_alpha 145.01
_cell_angle_beta 145.01
_cell_angle_gamma 50.32
loop_
_symmetry_equiv_pos_as_xyz
'x,y,z'
loop_
_atom_site_label
_atom_site_fract_x
_atom_site_fract_y
_atom_site_fract_z
K1 0.250 0.750 0.500
K2 0.750 0.250 0.500
Ba1 0.000 0.000 0.000
Sb1 0.407 0.407 0.000
Sb2 0.593 0.593 0.000



Record 5
# ZrICl, relaxed, DFT GGA-PBE
# ΔE_f (raw) ... -1129 meV/atom
# E above lowest polymorph ... 0.108 eV per atom
data_ZrICl
_symmetry_space_group_name_H-M 'P 1'
_symmetry_Int_Tables_number 1
_cell_length_a 8.509
_cell_length_b 7.067
_cell_length_c 6.165
_cell_angle_alpha 90.00
_cell_angle_beta 102.55
_cell_angle_gamma 90.00
loop_
_symmetry_equiv_pos_as_xyz
'x,y,z'
loop_
_atom_site_label
_atom_site_fract_x
_atom_site_fract_y
_atom_site_fract_z
Zr1 0.005 0.128 0.253
Zr2 0.005 0.372 0.753
Zr3 0.995 0.628 0.247
Zr4 0.995 0.872 0.747
I1 0.260 0.112 0.663
I2 0.260 0.388 0.163
I3 0.740 0.612 0.837
I4 0.740 0.888 0.337
Cl1 0.201 0.627 0.642
Cl2 0.201 0.873 0.142
Cl3 0.799 0.127 0.858
Cl4 0.799 0.373 0.358



Record 6
# La3Sm4In4, relaxed, DFT GGA-PBE
# DFT formation energy ... -0.301 eV per atom
data_La3Sm4In4
_symmetry_space_group_name_H-M 'P 1'
_symmetry_Int_Tables_number 1
_cell_length_a 10.109
_cell_length_b 10.109
_cell_length_c 10.109
_cell_angle_alpha 148.95
_cell_angle_beta 138.13
_cell_angle_gamma 53.03
loop_
_symmetry_equiv_pos_as_xyz
'x,y,z'
loop_
_atom_site_label
_atom_site_fract_x
_atom_site_fract_y
_atom_site_fract_z
La1 0.000 0.000 0.000
La2 0.396 0.896 0.500
La3 0.604 0.104 0.500
Sm1 0.054 0.322 0.732
Sm2 0.410 0.678 0.732
Sm3 0.590 0.322 0.268
Sm4 0.946 0.678 0.268
In1 0.179 0.179 0.000
In2 0.291 0.500 0.791
In3 0.709 0.500 0.209
In4 0.821 0.821 0.000



Record 7
# BeNb2F, relaxed, DFT GGA-PBE
# ΔE_f (raw) ... -151 meV/atom
# E above lowest polymorph ... 0.000 eV per atom
data_BeNb2F
_symmetry_space_group_name_H-M 'P 1'
_symmetry_Int_Tables_number 1
_cell_length_a 4.230
_cell_length_b 4.230
_cell_length_c 4.230
_cell_angle_alpha 60.00
_cell_angle_beta 60.00
_cell_angle_gamma 60.00
loop_
_symmetry_equiv_pos_as_xyz
'x,y,z'
loop_
_atom_site_label
_atom_site_fract_x
_atom_site_fract_y
_atom_site_fract_z
Be1 0.000 0.000 0.000
Nb1 0.250 0.250 0.250
Nb2 0.750 0.750 0.750
F1 0.500 0.500 0.500



Record 8
# Cs9Tl4O3, relaxed, DFT GGA-PBE
# ΔE_f (raw) ... -598 meV/atom
data_Cs9Tl4O3
_symmetry_space_group_name_H-M 'P 1'
_symmetry_Int_Tables_number 1
_cell_length_a 11.953
_cell_length_b 11.953
_cell_length_c 11.953
_cell_angle_alpha 109.47
_cell_angle_beta 109.47
_cell_angle_gamma 109.47
loop_
_symmetry_equiv_pos_as_xyz
'x,y,z'
loop_
_atom_site_label
_atom_site_fract_x
_atom_site_fract_y
_atom_site_fract_z
Cs1 0.000 0.365 0.365
Cs2 0.000 0.635 0.635
Cs3 0.050 0.761 0.377
Cs4 0.239 0.289 0.616
Cs5 0.289 0.616 0.239
Cs6 0.327 0.711 0.950
Cs7 0.365 0.000 0.365
Cs8 0.365 0.365 0.000
Cs9 0.377 0.050 0.761
Cs10 0.384 0.673 0.623
Cs11 0.616 0.239 0.289
Cs12 0.623 0.384 0.673
Cs13 0.635 0.000 0.635
Cs14 0.635 0.635 0.000
Cs15 0.673 0.623 0.384
Cs16 0.711 0.950 0.327
Cs17 0.761 0.377 0.050
Cs18 0.950 0.327 0.711
Tl1 0.000 0.000 0.175
Tl2 0.000 0.000 0.728
Tl3 0.000 0.175 0.000
Tl4 0.000 0.728 0.000
Tl5 0.175 0.000 0.000
Tl6 0.272 0.272 0.272
Tl7 0.728 0.000 0.000
Tl8 0.825 0.825 0.825
O1 0.165 0.500 0.665
O2 0.335 0.835 0.500
O3 0.500 0.335 0.835
O4 0.500 0.665 0.165
O5 0.665 0.165 0.500
O6 0.835 0.500 0.335



Record 9
# Ge3IrS, relaxed, DFT GGA-PBE
# ΔE_f (raw) ... 1008 meV/atom
# E above lowest polymorph ... 1.120 eV per atom
data_Ge3IrS
_symmetry_space_group_name_H-M 'P 1'
_symmetry_Int_Tables_number 1
_cell_length_a 4.614
_cell_length_b 4.614
_cell_length_c 4.614
_cell_angle_alpha 90.00
_cell_angle_beta 90.00
_cell_angle_gamma 90.00
loop_
_symmetry_equiv_pos_as_xyz
'x,y,z'
loop_
_atom_site_label
_atom_site_fract_x
_atom_site_fract_y
_atom_site_fract_z
Ge1 0.000 0.000 0.500
Ge2 0.000 0.500 0.000
Ge3 0.500 0.000 0.000
Ir1 0.500 0.500 0.500
S1 0.000 0.000 0.000



Record 10
# Zn2MoOs2, relaxed, DFT GGA-PBE
# DFT formation energy ... 0.851 eV per atom
data_Zn2MoOs2
_symmetry_space_group_name_H-M 'P 1'
_symmetry_Int_Tables_number 1
_cell_length_a 6.283
_cell_length_b 6.283
_cell_length_c 6.283
_cell_angle_alpha 145.83
_cell_angle_beta 145.83
_cell_angle_gamma 49.10
loop_
_symmetry_equiv_pos_as_xyz
'x,y,z'
loop_
_atom_site_label
_atom_site_fract_x
_atom_site_fract_y
_atom_site_fract_z
Zn1 0.097 0.097 0.000
Zn2 0.903 0.903 0.000
Mo1 0.500 0.500 0.000
Os1 0.250 0.750 0.500
Os2 0.750 0.250 0.500



Record 11
# KSb2Rh, relaxed, DFT GGA-PBE
# ΔE_f (raw) ... -297 meV/atom
# E above lowest polymorph ... 0.106 eV per atom
data_KSb2Rh
_symmetry_space_group_name_H-M 'P 1'
_symmetry_Int_Tables_number 1
_cell_length_a 3.269
_cell_length_b 3.482
_cell_length_c 8.613
_cell_angle_alpha 90.00
_cell_angle_beta 90.00
_cell_angle_gamma 90.00
loop_
_symmetry_equiv_pos_as_xyz
'x,y,z'
loop_
_atom_site_label
_atom_site_fract_x
_atom_site_fract_y
_atom_site_fract_z
K1 0.000 0.000 0.000
Sb1 0.500 0.500 0.318
Sb2 0.500 0.500 0.682
Rh1 0.000 0.000 0.500



Record 12
# Sb3IrN, relaxed, DFT GGA-PBE
# ΔE_f (raw) ... 1532 meV/atom
# E above lowest polymorph ... 0.780 eV per atom
data_Sb3IrN
_symmetry_space_group_name_H-M 'P 1'
_symmetry_Int_Tables_number 1
_cell_length_a 5.131
_cell_length_b 5.131
_cell_length_c 5.131
_cell_angle_alpha 90.00
_cell_angle_beta 90.00
_cell_angle_gamma 90.00
loop_
_symmetry_equiv_pos_as_xyz
'x,y,z'
loop_
_atom_site_label
_atom_site_fract_x
_atom_site_fract_y
_atom_site_fract_z
Sb1 0.000 0.000 0.500
Sb2 0.000 0.500 0.000
Sb3 0.500 0.000 0.000
Ir1 0.000 0.000 0.000
N1 0.500 0.500 0.500



Record 13
# LiMgRe2C, relaxed, DFT GGA-PBE
# DFT formation energy ... 0.217 eV per atom
data_LiMgRe2C
_symmetry_space_group_name_H-M 'P 1'
_symmetry_Int_Tables_number 1
_cell_length_a 4.034
_cell_length_b 4.034
_cell_length_c 4.321
_cell_angle_alpha 90.00
_cell_angle_beta 90.00
_cell_angle_gamma 90.00
loop_
_symmetry_equiv_pos_as_xyz
'x,y,z'
loop_
_atom_site_label
_atom_site_fract_x
_atom_site_fract_y
_atom_site_fract_z
Li1 0.000 0.000 0.000
Mg1 0.500 0.500 0.000
Re1 0.000 0.500 0.500
Re2 0.500 0.000 0.500
C1 0.000 0.000 0.500



Record 14
# SrLaY2Co, relaxed, DFT GGA-PBE
# DFT formation energy ... -0.036 eV per atom
data_SrLaY2Co
_symmetry_space_group_name_H-M 'P 1'
_symmetry_Int_Tables_number 1
_cell_length_a 5.534
_cell_length_b 5.534
_cell_length_c 5.392
_cell_angle_alpha 90.00
_cell_angle_beta 90.00
_cell_angle_gamma 90.00
loop_
_symmetry_equiv_pos_as_xyz
'x,y,z'
loop_
_atom_site_label
_atom_site_fract_x
_atom_site_fract_y
_atom_site_fract_z
Sr1 0.000 0.000 0.000
La1 0.500 0.500 0.000
Y1 0.000 0.500 0.500
Y2 0.500 0.000 0.500
Co1 0.500 0.500 0.500



Record 15
# La14NdSm, relaxed, DFT GGA-PBE
# DFT formation energy ... 0.077 eV per atom
data_La14NdSm
_symmetry_space_group_name_H-M 'P 1'
_symmetry_Int_Tables_number 1
_cell_length_a 11.967
_cell_length_b 7.170
_cell_length_c 7.170
_cell_angle_alpha 108.90
_cell_angle_beta 90.00
_cell_angle_gamma 90.00
loop_
_symmetry_equiv_pos_as_xyz
'x,y,z'
loop_
_atom_site_label
_atom_site_fract_x
_atom_site_fract_y
_atom_site_fract_z
La1 0.000 0.000 0.000
La2 0.000 0.433 0.433
La3 0.000 0.517 0.943
La4 0.000 0.943 0.517
La5 0.247 0.232 0.801
La6 0.247 0.801 0.232
La7 0.250 0.308 0.308
La8 0.257 0.739 0.739
La9 0.500 0.511 0.958
La10 0.500 0.958 0.511
La11 0.743 0.739 0.739
La12 0.750 0.308 0.308
La13 0.753 0.232 0.801
La14 0.753 0.801 0.232
Nd1 0.500 0.454 0.454
Sm1 0.500 0.026 0.026



Record 16
# YAgS2, relaxed, DFT GGA-PBE
# ΔE_f (raw) ... -1088 meV/atom
data_YAgS2
_symmetry_space_group_name_H-M 'P 1'
_symmetry_Int_Tables_number 1
_cell_length_a 5.855
_cell_length_b 5.855
_cell_length_c 5.855
_cell_angle_alpha 110.47
_cell_angle_beta 110.47
_cell_angle_gamma 107.50
loop_
_symmetry_equiv_pos_as_xyz
'x,y,z'
loop_
_atom_site_label
_atom_site_fract_x
_atom_site_fract_y
_atom_site_fract_z
Y1 0.250 0.250 0.000
Y2 0.750 0.750 0.000
Ag1 0.250 0.750 0.500
Ag2 0.750 0.250 0.500
S1 0.203 0.703 0.907
S2 0.297 0.203 0.500
S3 0.703 0.797 0.500
S4 0.797 0.297 0.093



Record 17
# Ba2LiCaF, relaxed, DFT GGA-PBE
# ΔE_f (raw) ... -962 meV/atom
# E above lowest polymorph ... 0.071 eV per atom
data_Ba2LiCaF
_symmetry_space_group_name_H-M 'P 1'
_symmetry_Int_Tables_number 1
_cell_length_a 5.591
_cell_length_b 5.591
_cell_length_c 5.993
_cell_angle_alpha 90.00
_cell_angle_beta 90.00
_cell_angle_gamma 90.00
loop_
_symmetry_equiv_pos_as_xyz
'x,y,z'
loop_
_atom_site_label
_atom_site_fract_x
_atom_site_fract_y
_atom_site_fract_z
Ba1 0.000 0.500 0.000
Ba2 0.500 0.000 0.000
Li1 0.000 0.000 0.500
Ca1 0.500 0.500 0.500
F1 0.000 0.000 0.000



Record 18
# FeNiIr2, relaxed, DFT GGA-PBE
# E above lowest polymorph ... 0.057 eV per atom
# DFT formation energy ... 0.016 eV per atom
data_FeNiIr2
_symmetry_space_group_name_H-M 'P 1'
_symmetry_Int_Tables_number 1
_cell_length_a 2.692
_cell_length_b 2.692
_cell_length_c 7.242
_cell_angle_alpha 90.00
_cell_angle_beta 90.00
_cell_angle_gamma 90.00
loop_
_symmetry_equiv_pos_as_xyz
'x,y,z'
loop_
_atom_site_label
_atom_site_fract_x
_atom_site_fract_y
_atom_site_fract_z
Fe1 0.000 0.000 0.000
Ni1 0.500 0.500 0.771
Ir1 0.000 0.000 0.520
Ir2 0.500 0.500 0.255



Record 19
# La2Pm4Y2Er, relaxed, DFT GGA-PBE
# DFT formation energy ... 0.005 eV per atom
data_La2Pm4Y2Er
_symmetry_space_group_name_H-M 'P 1'
_symmetry_Int_Tables_number 1
_cell_length_a 9.686
_cell_length_b 9.686
_cell_length_c 9.745
_cell_angle_alpha 115.15
_cell_angle_beta 115.15
_cell_angle_gamma 21.89
loop_
_symmetry_equiv_pos_as_xyz
'x,y,z'
loop_
_atom_site_label
_atom_site_fract_x
_atom_site_fract_y
_atom_site_fract_z
La1 0.165 0.165 0.499
La2 0.835 0.835 0.501
Pm1 0.019 0.019 0.834
Pm2 0.314 0.314 0.165
Pm3 0.686 0.686 0.835
Pm4 0.981 0.981 0.166
Y1 0.353 0.353 0.835
Y2 0.647 0.647 0.165
Er1 0.500 0.500 0.500



Record 20
# Sr2LiCa, relaxed, DFT GGA-PBE
# E above lowest polymorph ... 0.020 eV per atom
# DFT formation energy ... 0.036 eV per atom
data_Sr2LiCa
_symmetry_space_group_name_H-M 'P 1'
_symmetry_Int_Tables_number 1
_cell_length_a 7.476
_cell_length_b 7.476
_cell_length_c 6.471
_cell_angle_alpha 115.54
_cell_angle_beta 115.54
_cell_angle_gamma 32.56
loop_
_symmetry_equiv_pos_as_xyz
'x,y,z'
loop_
_atom_site_label
_atom_site_fract_x
_atom_site_fract_y
_atom_site_fract_z
Sr1 0.000 0.000 0.000
Sr2 0.215 0.215 0.715
Li1 0.727 0.727 0.226
Ca1 0.434 0.434 0.435



| no. | spin magnetization (μB/cell) |
| --- | --- |
| 1 | 0.00 |
| 2 | 0.00 |
| 3 | 0.00 |
| 4 | 0.00 |
| 5 | 0.00 |
| 6 | 0.00 |
| 7 | 0.00 |
| 8 | 1.89 |
| 9 | 0.00 |
| 10 | 0.00 |
| 11 | 0.00 |
| 12 | 0.00 |
| 13 | 0.00 |
| 14 | 0.00 |
| 15 | 0.00 |
| 16 | 0.00 |
| 17 | 0.00 |
| 18 | 3.14 |
| 19 | 0.01 |
| 20 | 0.00 |